Crystalline HfPa2Te6 at its relaxed geometry. Source: the Alexandria database, functional PBE-GGA.

## Properties
Energy relative to the elements, uncorrected ... -0.7836 eV per atom
Polymorph energy (0 for the lowest one) ... 0 meV/atom

a = 9.741 Å, b = 9.741 Å, c = 8.928 Å
α = 106.60°, β = 106.60°, γ = 24.87°
Positions (direct):
Hf1 0.000 0.000 0.000
Pa1 0.337 0.337 0.674
Pa2 0.663 0.663 0.326
Te1 0.160 0.160 0.075
Te2 0.168 0.168 0.581
Te3 0.496 0.496 0.228
Te4 0.504 0.504 0.772
Te5 0.832 0.832 0.419
Te6 0.840 0.840 0.925

***

Crystalline LiTbYMn at its relaxed geometry. Source: the Alexandria database, functional PBE-GGA.

## Properties
Total energy ... -21.68 eV for the cell shown

a = 5.054 Å, b = 5.054 Å, c = 5.054 Å
α = 60.00°, β = 60.00°, γ = 60.00°
Positions (direct):
Li1 0.000 0.000 0.000
Tb1 0.750 0.750 0.750
Y1 0.250 0.250 0.250
Mn1 0.500 0.500 0.500

***

Crystalline GdNbGa2 at its relaxed geometry. Source: the Alexandria database, functional PBE-GGA.

## Properties
Polymorph energy (0 for the lowest one) ... 610 meV/atom

a = 10.770 Å, b = 10.770 Å, c = 10.770 Å
α = 16.31°, β = 16.31°, γ = 16.31°
Positions (direct):
Gd1 0.000 0.000 0.000
Nb1 0.500 0.500 0.500
Ga1 0.416 0.416 0.416
Ga2 0.584 0.584 0.584

***

Crystalline PuNiPb2 at its relaxed geometry. Source: the Alexandria database, functional PBE-GGA.

## Properties
Total energy ... -26.27 eV for the cell shown

a = 10.557 Å, b = 10.557 Å, c = 10.557 Å
α = 18.62°, β = 18.62°, γ = 18.62°
Positions (direct):
Pu1 0.000 0.000 0.000
Ni1 0.500 0.500 0.500
Pb1 0.106 0.106 0.106
Pb2 0.894 0.894 0.894

***

Crystalline CsBeSi2Br at its relaxed geometry. Source: the Alexandria database, functional PBE-GGA.

## Properties
Energy relative to the elements, uncorrected ... 0.2546 eV per atom

a = 4.507 Å, b = 4.507 Å, c = 9.167 Å
α = 90.00°, β = 90.00°, γ = 90.00°
Positions (direct):
Cs1 0.000 0.000 0.000
Be1 0.500 0.500 0.500
Si1 0.000 0.500 0.500
Si2 0.500 0.000 0.500
Br1 0.500 0.500 0.000

***

Crystalline Cr12Ir5Ru3 at its relaxed geometry. Source: the Alexandria database, functional PBE-GGA.

## Properties
Total energy ... -681.70 eV for the cell shown

a = 11.985 Å, b = 11.985 Å, c = 11.985 Å
α = 109.47°, β = 109.47°, γ = 109.47°
Positions (direct):
Cr1 0.071 0.238 0.147
Cr2 0.071 0.333 0.923
Cr3 0.077 0.647 0.409
Cr4 0.077 0.929 0.667
Cr5 0.091 0.738 0.667
Cr6 0.091 0.853 0.423
Cr7 0.147 0.071 0.238
Cr8 0.147 0.577 0.909
Cr9 0.167 0.238 0.591
Cr10 0.167 0.429 0.577
Cr11 0.238 0.147 0.071
Cr12 0.238 0.591 0.167
Cr13 0.262 0.333 0.909
Cr14 0.262 0.429 0.353
Cr15 0.333 0.909 0.262
Cr16 0.333 0.923 0.071
Cr17 0.353 0.262 0.429
Cr18 0.353 0.591 0.923
Cr19 0.409 0.077 0.647
Cr20 0.409 0.833 0.762
Cr21 0.423 0.091 0.853
Cr22 0.423 0.833 0.571
Cr23 0.429 0.353 0.262
Cr24 0.429 0.577 0.167
Cr25 0.571 0.423 0.833
Cr26 0.571 0.647 0.738
Cr27 0.577 0.167 0.429
Cr28 0.577 0.909 0.147
Cr29 0.591 0.167 0.238
Cr30 0.591 0.923 0.353
Cr31 0.647 0.409 0.077
Cr32 0.647 0.738 0.571
Cr33 0.667 0.077 0.929
Cr34 0.667 0.091 0.738
Cr35 0.738 0.571 0.647
Cr36 0.738 0.667 0.091
Cr37 0.762 0.409 0.833
Cr38 0.762 0.853 0.929
Cr39 0.833 0.571 0.423
Cr40 0.833 0.762 0.409
Cr41 0.853 0.423 0.091
Cr42 0.853 0.929 0.762
Cr43 0.909 0.147 0.577
Cr44 0.909 0.262 0.333
Cr45 0.923 0.071 0.333
Cr46 0.923 0.353 0.591
Cr47 0.929 0.667 0.077
Cr48 0.929 0.762 0.853
Ir1 0.000 0.000 0.000
Ir2 0.000 0.000 0.500
Ir3 0.000 0.500 0.000
Ir4 0.000 0.500 0.500
Ir5 0.125 0.750 0.875
Ir6 0.125 0.875 0.250
Ir7 0.250 0.125 0.875
Ir8 0.250 0.625 0.375
Ir9 0.375 0.250 0.625
Ir10 0.375 0.625 0.750
Ir11 0.500 0.000 0.000
Ir12 0.500 0.000 0.500
Ir13 0.500 0.500 0.000
Ir14 0.500 0.500 0.500
Ir15 0.625 0.375 0.250
Ir16 0.625 0.750 0.375
Ir17 0.750 0.375 0.625
Ir18 0.750 0.875 0.125
Ir19 0.875 0.125 0.750
Ir20 0.875 0.250 0.125
Ru1 0.125 0.250 0.375
Ru2 0.125 0.375 0.750
Ru3 0.250 0.375 0.125
Ru4 0.250 0.875 0.625
Ru5 0.375 0.125 0.250
Ru6 0.375 0.750 0.125
Ru7 0.625 0.250 0.875
Ru8 0.625 0.875 0.750
Ru9 0.750 0.125 0.375
Ru10 0.750 0.625 0.875
Ru11 0.875 0.625 0.250
Ru12 0.875 0.750 0.625

***

| no. | volume (Å³ per cell) | total magnetic moment (μB per cell) | ρ (g cm⁻³) |
| --- | --- | --- | --- |
| 1 | 340.7 | 2.00 | 6.853 |
| 2 | 91.3 | 2.58 | 5.634 |
| 3 | 85.9 | 7.45 | 7.528 |
| 4 | 104.8 | 6.60 | 11.364 |
| 5 | 186.2 | 0.00 | 2.479 |
| 6 | 1325.4 | 0.01 | 9.463 |